# Ba3Mg2Zn2Ga4, relaxed, DFT GGA-PBE
data_Ba3Mg2Zn2Ga4
_cell_length_a 4.5283
_cell_length_b 4.5283
_cell_length_c 18.3909
_cell_angle_alpha 90.00
_cell_angle_beta 90.00
_cell_angle_gamma 120.00
_symmetry_space_group_name_H-M 'P -3 m 1'
_symmetry_Int_Tables_number 164
_symmetry_space_group_name_Hall '-P 3 2"'
loop_
_atom_site_label
_atom_site_type_symbol
_atom_site_fract_x
_atom_site_fract_y
_atom_site_fract_z
Ba1 Ba 0.0000 0.0000 0.0000
Ba2 Ba 0.0000 0.0000 0.2710
Mg1 Mg 0.3333 0.6667 0.5508
Zn1 Zn 0.3333 0.6667 0.1379
Ga1 Ga 0.3333 0.6667 0.3949
Ga2 Ga 0.3333 0.6667 0.8639
# Calculated formation energy = -210 meV/atom
# N(E_F) = 0.812 states/eV/atom
# Total moment = 0.00 μB per atom